# TbCeDy4 | the Alexandria database | PBE | relaxed
data_TbCeDy4
_symmetry_space_group_name_H-M 'C 1 2/m 1'
_symmetry_Int_Tables_number 12
_cell_length_a 17.200
_cell_length_b 3.565
_cell_length_c 6.181
_cell_angle_alpha 90.00
_cell_angle_beta 96.80
_cell_angle_gamma 90.00
loop_
_symmetry_equiv_pos_as_xyz
'x,y,z'
'-x,-y,-z'
'-x,y,-z'
'x,-y,z'
'x+1/2,y+1/2,z'
'-x+1/2,-y+1/2,-z'
'-x+1/2,y+1/2,-z'
'x+1/2,-y+1/2,z'
loop_
_atom_site_label
_atom_site_fract_x
_atom_site_fract_y
_atom_site_fract_z
_atom_site_occupancy
Tb1 0.000 0.000 0.000 1
Ce1 0.000 0.500 0.500 1
Dy1 0.166 0.000 0.391 1
Dy2 0.167 0.500 0.886 1
# energy relative to the lowest polymorph listed for this composition: 0.0 kJ/mol of atoms
# E_form: 0.0255 eV per atom
# E: -4.803 eV/atom


# TbCeDy | the Alexandria database | PBE | relaxed
data_TbCeDy
_symmetry_space_group_name_H-M 'P 3 m 1'
_symmetry_Int_Tables_number 156
_cell_length_a 3.5159
_cell_length_b 3.5159
_cell_length_c 8.6279
_cell_angle_alpha 90.00
_cell_angle_beta 90.00
_cell_angle_gamma 120.00
loop_
_symmetry_equiv_pos_as_xyz
'x,y,z'
'-y,x-y,z'
'-x+y,-x,z'
'-y,-x,z'
'-x+y,y,z'
'x,x-y,z'
loop_
_atom_site_label
_atom_site_fract_x
_atom_site_fract_y
_atom_site_fract_z
_atom_site_occupancy
Tb1 0.0000 0.0000 0.0000 1
Ce1 0.3333 0.6667 0.6704 1
Dy1 0.6667 0.3333 0.3419 1
# energy relative to the lowest polymorph listed for this composition: 0.0 kJ/mol of atoms
# E_form: 0.0651 eV per atom
# E: -4.990 eV/atom


# Tb2Ce2Dy7 | the Alexandria database | PBE | relaxed
data_Tb2Ce2Dy7
_symmetry_space_group_name_H-M 'C 1 2/m 1'
_symmetry_Int_Tables_number 12
_cell_length_a 11.078
_cell_length_b 11.567
_cell_length_c 5.974
_cell_angle_alpha 90.00
_cell_angle_beta 112.66
_cell_angle_gamma 90.00
loop_
_symmetry_equiv_pos_as_xyz
'x,y,z'
'-x,-y,-z'
'-x,y,-z'
'x,-y,z'
'x+1/2,y+1/2,z'
'-x+1/2,-y+1/2,-z'
'-x+1/2,y+1/2,-z'
'x+1/2,-y+1/2,z'
loop_
_atom_site_label
_atom_site_fract_x
_atom_site_fract_y
_atom_site_fract_z
_atom_site_occupancy
Tb1 0.229 0.000 0.088 1
Ce1 0.000 0.215 0.000 1
Dy1 0.000 0.000 0.500 1
Dy2 0.092 0.500 0.306 1
Dy3 0.173 0.237 0.673 1
# E_form: 0.2030 eV per atom
# E: -4.646 eV/atom


# Tb3CeDy5 | the Alexandria database | PBE | relaxed
data_Tb3CeDy5
_symmetry_space_group_name_H-M 'I 4/m c m'
_symmetry_Int_Tables_number 140
_symmetry_space_group_name_Hall '-I 4 2c'
_cell_length_a 8.554
_cell_length_b 8.554
_cell_length_c 15.574
_cell_angle_alpha 90.00
_cell_angle_beta 90.00
_cell_angle_gamma 90.00
loop_
_atom_site_label
_atom_site_fract_x
_atom_site_fract_y
_atom_site_fract_z
_atom_site_occupancy
Tb1 0.000 0.000 0.250 1
Tb2 0.122 0.378 0.000 1
Ce1 0.000 0.500 0.250 1
Dy1 0.000 0.000 0.000 1
Dy2 0.197 0.303 0.361 1
# E_form: 0.2839 eV per atom
# E: -4.476 eV/atom